1.
SrCd2Hg4: optimized geometry, PBE-GGA.

The calculation puts the offset from the most stable computed form at 0 meV per atom. For the energy, the calculation gives -0.90 eV per atom.

The space group is C2/m (No. 12) and the conventional cell measures 9.452, 7.751 and 5.973 Å, with angles of 90.00, 123.73 and 90.00 degrees. The inequivalent atoms are Sr at (0.000, 0.000, 0.000), Cd at (0.020, 0.500, 0.770) and Hg at (0.195, 0.196, 0.689).

2.
SrCd2Hg8: optimized geometry, PBE-GGA.

For the energy, the calculation gives -0.68 eV per atom.

The space group is C2/m (No. 12) and the conventional cell measures 16.991, 6.385 and 5.545 Å, with angles of 90.00, 98.75 and 90.00 degrees. The inequivalent atoms are Sr at (0.000, 0.000, 0.000), Cd at (0.241, 0.500, 0.451), Hg at (0.092, 0.248, 0.546), Hg at (0.097, 0.500, 0.034) and Hg at (0.204, 0.000, 0.028).